Here is an optimized crystal structure of TlNi2Se from Alexandria. Energies are from GGA-PBE.

a = 3.6921 Å, b = 3.6921 Å, c = 9.7258 Å
α = 90.00°, β = 90.00°, γ = 90.00°
Space group I-4m2 (No. 119)
Asymmetric unit:
Tl 0.0000 0.0000 0.0000 [2 per cell]
Ni 0.0000 0.0000 0.5000 [2 per cell]
Ni 0.0000 0.5000 0.7500 [2 per cell]
Se 0.0000 0.5000 0.2500 [2 per cell]

## Properties
**ΔE_f (raw)**: 308 meV per atom
**Total moment**: 0.000 μB/cell
**ΔE to the lowest computed polymorph**: 288 meV/atom


Here is an optimized crystal structure of Pr2ThNbN4 from Alexandria. Energies are from GGA-PBE.

a = 6.0838 Å, b = 3.4923 Å, c = 6.1437 Å
α = 90.00°, β = 108.47°, γ = 90.00°
Space group P2/m (No. 10)
Asymmetric unit:
Pr 0.0000 0.0000 0.0000 [1 per cell]
Pr 0.5000 0.5000 0.0000 [1 per cell]
Th 0.0000 0.5000 0.5000 [1 per cell]
Nb 0.5000 0.0000 0.5000 [1 per cell]
N 0.2671 0.0000 0.7151 [2 per cell]
N 0.2822 0.5000 0.2923 [2 per cell]

## Properties
**ΔE_f (raw)**: -1242 meV per atom
**Total moment**: 0.000 μB/cell


Here is an optimized crystal structure of La10Sm4Tm from Alexandria. Energies are from GGA-PBE.

a = 10.5918 Å, b = 10.5918 Å, c = 9.4203 Å
α = 90.00°, β = 90.00°, γ = 90.00°
Space group I4/mmm (No. 139)
Asymmetric unit:
La 0.0000 0.5000 0.2500 [4 per cell]
La 0.1490 0.1490 0.1760 [16 per cell]
Sm 0.0000 0.2971 0.5000 [8 per cell]
Tm 0.0000 0.0000 0.5000 [2 per cell]

## Properties
**Total moment**: 0.000 μB/cell
**Calculated formation energy**: 271 meV per atom


Here is an optimized crystal structure of Ba2TiIr from Alexandria. Energies are from GGA-PBE.

a = 12.0285 Å, b = 12.0285 Å, c = 4.7628 Å
α = 90.00°, β = 90.00°, γ = 90.00°
Space group I-42d (No. 122)
Asymmetric unit:
Ba 0.0785 0.7500 0.1250 [8 per cell]
Ti 0.0000 0.0000 0.5000 [4 per cell]
Ir 0.0000 0.0000 0.0000 [4 per cell]

## Properties
**Total moment**: 4.834 μB/cell
**ΔE to the lowest computed polymorph**: 0 meV/atom
**Calculated formation energy**: 211 meV per atom


Here is an optimized crystal structure of BaLi2Tl10 from Alexandria. Energies are from GGA-PBE.

a = 6.3713 Å, b = 15.0984 Å, c = 15.8416 Å
α = 90.00°, β = 90.00°, γ = 90.00°
Space group Fmmm (No. 69)
Asymmetric unit:
Ba 0.0000 0.0000 0.0000 [4 per cell]
Li 0.2500 0.0000 0.2500 [8 per cell]
Tl 0.0000 0.1046 0.3843 [16 per cell]
Tl 0.0000 0.1694 0.1820 [16 per cell]
Tl 0.2500 0.2500 0.0000 [8 per cell]

## Properties
**Total moment**: 0.000 μB/cell
**Calculated formation energy**: -129 meV per atom


Here is an optimized crystal structure of BaAlPb2Se from Alexandria. Energies are from GGA-PBE.

a = 5.2081 Å, b = 5.2081 Å, c = 6.9578 Å
α = 90.00°, β = 90.00°, γ = 90.00°
Space group P4/mmm (No. 123)
Asymmetric unit:
Ba 0.0000 0.0000 0.0000 [1 per cell]
Al 0.0000 0.0000 0.5000 [1 per cell]
Pb 0.0000 0.5000 0.5000 [2 per cell]
Se 0.5000 0.5000 0.0000 [1 per cell]

## Properties
**ΔE_f (raw)**: -73 meV per atom
**Total moment**: 0.000 μB/cell


Here is an optimized crystal structure of ZrNiBi3 from Alexandria. Energies are from GGA-PBE.

a = 5.6122 Å, b = 5.6122 Å, c = 5.6122 Å
α = 90.00°, β = 90.00°, γ = 90.00°
Space group Pm-3m (No. 221)
Asymmetric unit:
Zr 0.0000 0.0000 0.0000 [1 per cell]
Ni 0.5000 0.5000 0.5000 [1 per cell]
Bi 0.0000 0.0000 0.5000 [3 per cell]

## Properties
**Total moment**: 0.000 μB/cell
**ΔE to the lowest computed polymorph**: 463 meV/atom
**Calculated formation energy**: 873 meV per atom


Here is an optimized crystal structure of Ag6Pt7 from Alexandria. Energies are from GGA-PBE.

a = 5.3726 Å, b = 5.3726 Å, c = 27.3898 Å
α = 90.00°, β = 90.00°, γ = 120.00°
Space group R-3m (No. 166, hexagonal axes)
Asymmetric unit:
Ag 0.0000 0.0000 0.0506 [6 per cell]
Ag 0.0000 0.0000 0.1527 [6 per cell]
Ag 0.0000 0.0000 0.3336 [6 per cell]
Pt 0.0000 0.0000 0.5000 [3 per cell]
Pt 0.0040 0.5020 0.9113 [18 per cell]

## Properties
**Total moment**: 0.000 μB/cell
**Calculated formation energy**: 39 meV per atom